1.
YHgPb6: relaxed, PBE.

Unit cell a=6.7528 b=6.7528 c=5.2180 alpha=90.00 beta=90.00 gamma=90.05
Atoms (fractional coordinates):
Y (0.0000, 0.0000, 0.0000)
Hg (0.5000, 0.5000, 0.0000)
Pb (0.0000, 0.5000, 0.0000)
Pb (0.2511, 0.7489, 0.5000)
Pb (0.2521, 0.2521, 0.5000)
Pb (0.5000, 0.0000, 0.0000)
Pb (0.7479, 0.7479, 0.5000)
Pb (0.7489, 0.2511, 0.5000)

Output
E_form = -104 meV per atom


2.
CdH2Ir2: relaxed, PBE.

Unit cell a=6.6627 b=6.6627 c=6.6627 alpha=154.28 beta=154.28 gamma=36.69
Atoms (fractional coordinates):
Cd (0.0000, 0.0000, 0.0000)
H (0.2500, 0.7500, 0.5000)
H (0.7500, 0.2500, 0.5000)
Ir (0.3412, 0.3412, 0.0000)
Ir (0.6588, 0.6588, 0.0000)

Output
VASP energy = -23.9 eV for the cell shown


3.
LiTl3Cu2F6: relaxed, PBE.

Unit cell a=5.9354 b=5.9354 c=6.0103 alpha=90.00 beta=90.00 gamma=120.00
Atoms (fractional coordinates):
Li (0.0000, 0.0000, 0.0000)
Tl (0.0000, 0.0000, 0.5000)
Tl (0.3333, 0.6667, 0.1655)
Tl (0.6667, 0.3333, 0.8345)
Cu (0.3333, 0.6667, 0.5998)
Cu (0.6667, 0.3333, 0.4002)
F (0.1776, 0.3552, 0.8259)
F (0.1776, 0.8224, 0.8259)
F (0.3552, 0.1776, 0.1741)
F (0.6448, 0.8224, 0.8259)
F (0.8224, 0.1776, 0.1741)
F (0.8224, 0.6448, 0.1741)

Output
uncorrected formation energy = -1.61 eV/atom